VASP calculation (GGA+U) on a relaxed MgFeF3 crystal.

E_tot: -4.3389 eV/atom
Polymorph energy (0 for the lowest one): 0.545 eV per atom
Space-group type: Pm-3m (221)

Cell lengths 4.1366, 4.1366, 4.1366 Å; angles 90.00, 90.00, 90.00 degrees
Closest atoms and distances in Å follow each position.
Sites, in units of the cell vectors:
Mg: 0.5000 0.5000 0.5000  12 F 2.92
Fe: 0.0000 0.0000 0.0000  6 F 2.07
F: 0.0000 0.5000 0.0000  2 Fe 2.07
F: 0.0000 0.0000 0.5000  2 Fe 2.07
F: 0.5000 0.0000 0.0000  2 Fe 2.07